No. 1
## NpSnRh2 (PBE-GGA)

Data for a relaxed NpSnRh2 crystal.

abc: 4.728 4.732 4.728
angles: 60.01 60.00 60.03
Last column: magnetic moment on the atom in μB.
Atoms (fractional coordinates):
Np1 0.250 0.250 0.250  3.57
Rh1 0.500 0.500 0.500  -0.19
Rh2 0.000 0.000 0.000  -0.19
Sn1 0.750 0.750 0.750  0.00

The density of states at the Fermi level is 7.8 states/eV/cell. As for the energy: -8.3157 eV/atom. Its mass density is 12.462 g cm⁻³. The volume comes out at 18.71 A^3/atom. The magnetization comes out at 3.4 μB/cell.

---

No. 2
## Mg2CdTcSe (PBE-GGA)

Data for a relaxed Mg2CdTcSe crystal.

abc: 5.246 4.612 5.246
angles: 90.00 90.00 90.00
Atoms (fractional coordinates):
Mg1 0.000 0.000 0.500
Mg2 0.500 0.000 0.000
Tc1 0.000 0.000 0.000
Se1 0.000 0.500 0.000
Cd1 0.500 0.500 0.500

The density of states at the Fermi level is 2.1 states/eV/cell. Its mass density is 4.421 g cm⁻³. The volume comes out at 25.39 A^3/atom. As for the formation energy (no corrections): 3.8 kcal/mol of atoms. The magnetization comes out at 0.0 μB/cell.

---

No. 3
## Hf2BeSiSb (PBE-GGA)

Data for a relaxed Hf2BeSiSb crystal.

abc: 5.268 5.013 5.268
angles: 90.00 90.00 90.00
Atoms (fractional coordinates):
Sb1 0.000 0.000 0.000
Si1 0.000 0.500 0.000
Hf1 0.000 0.000 0.500
Hf2 0.500 0.000 0.000
Be1 0.500 0.500 0.500

The density of states at the Fermi level is 6.0 states/eV/cell. Its mass density is 6.157 g cm⁻³. The volume comes out at 27.82 A^3/atom. As for the formation energy (no corrections): 36.3 kcal/mol of atoms. The magnetization comes out at 0.0 μB/cell.

---

No. 4
## Ce2Be4Ge3Ir (PBE-GGA)

Data for a relaxed Ce2Be4Ge3Ir crystal.

abc: 4.003 4.003 9.738
angles: 90.00 90.00 90.00
Last column: magnetic moment on the atom in μB.
Atoms (fractional coordinates):
Ce1 0.500 0.000 0.250  0.36
Ce2 0.000 0.500 0.750  0.36
Be1 0.500 0.500 0.000  0.00
Be2 0.000 0.000 0.000  0.00
Be3 0.500 0.000 0.627  0.00
Be4 0.000 0.500 0.373  0.00
Ge1 0.000 0.000 0.500  -0.01
Ge2 0.500 0.000 0.869  -0.01
Ge3 0.000 0.500 0.131  -0.01
Ir1 0.500 0.500 0.500  -0.01

The density of states at the Fermi level is 10.1 states/eV/cell. As for the energy: -5.4132 eV/atom. Its mass density is 7.729 g cm⁻³. The volume comes out at 15.61 A^3/atom. The magnetization comes out at 0.8 μB/cell.

---

No. 5
## Tb2TmBiC (PBE-GGA)

Data for a relaxed Tb2TmBiC crystal.

abc: 4.825 4.969 4.969
angles: 90.00 90.00 90.00
Atoms (fractional coordinates):
Tb1 0.000 0.000 0.500
Tb2 0.000 0.500 0.000
Tm1 0.500 0.000 0.000
Bi1 0.500 0.500 0.500
C1 0.000 0.000 0.000

The density of states at the Fermi level is 3.2 states/eV/cell. As for the energy: -5.8979 eV/atom. Its mass density is 9.867 g cm⁻³. The volume comes out at 23.82 A^3/atom. The magnetization comes out at 0.0 μB/cell.

---

No. 6
## BaDy2CuS4 (PBE-GGA)

Data for a relaxed BaDy2CuS4 crystal.

abc: 3.998 6.994 13.631
angles: 90.00 90.00 106.61
Atoms (fractional coordinates):
Ba1 0.113 0.227 0.750
Ba2 0.887 0.773 0.250
Dy1 0.372 0.743 0.557
Dy2 0.628 0.257 0.057
Dy3 0.628 0.257 0.443
Dy4 0.372 0.743 0.943
Cu1 0.843 0.687 0.750
Cu2 0.157 0.313 0.250
S1 0.265 0.530 0.114
S2 0.735 0.470 0.614
S3 0.735 0.470 0.886
S4 0.265 0.530 0.386
S5 0.000 0.000 0.500
S6 0.000 0.000 0.000
S7 0.433 0.866 0.750
S8 0.567 0.134 0.250

The density of states at the Fermi level is 3.1 states/eV/cell. Its mass density is 5.948 g cm⁻³. The volume comes out at 22.83 A^3/atom. As for the formation energy (no corrections): -40.5 kcal/mol of atoms. The magnetization comes out at 0.0 μB/cell.

---

No. 7
## AsPRh2 (PBE-GGA)

Data for a relaxed AsPRh2 crystal.

abc: 7.659 7.659 7.659
angles: 23.69 23.69 23.69
Atoms (fractional coordinates):
As1 0.504 0.504 0.504
P1 0.741 0.741 0.741
Rh1 0.014 0.014 0.014
Rh2 0.242 0.242 0.242

The density of states at the Fermi level is 2.5 states/eV/cell. Its mass density is 8.123 g cm⁻³. The volume comes out at 15.93 A^3/atom. The calculation puts the offset from the most stable computed form at 248 meV/atom. The magnetization comes out at 0.0 μB/cell.

---

No. 8
## K3Tm3AlSe8 (PBE-GGA)

Data for a relaxed K3Tm3AlSe8 crystal.

abc: 8.032 8.038 9.199
angles: 115.93 90.00 119.99
Atoms (fractional coordinates):
K1 0.000 0.000 0.000
K2 0.000 0.500 0.000
K3 0.500 0.500 0.000
Tm1 0.500 0.000 0.500
Tm2 0.500 0.500 0.500
Tm3 0.000 0.500 0.500
Al1 0.000 0.000 0.500
Se1 0.265 0.530 0.296
Se2 0.735 0.470 0.704
Se3 0.780 0.560 0.309
Se4 0.220 0.440 0.691
Se5 0.780 0.029 0.309
Se6 0.220 0.971 0.691
Se7 0.249 0.029 0.309
Se8 0.751 0.971 0.691

The density of states at the Fermi level is 9.5 states/eV/cell. Its mass density is 4.798 g cm⁻³. The volume comes out at 29.60 A^3/atom. As for the formation energy (no corrections): -33.8 kcal/mol of atoms. The magnetization comes out at 0.0 μB/cell.

---

No. 9
## La3Fe2Ge7 (PBE-GGA)

Data for a relaxed La3Fe2Ge7 crystal.

abc: 4.378 4.333 13.044
angles: 99.54 90.00 90.00
Atoms (fractional coordinates):
La1 0.000 0.816 0.632
La2 0.000 0.184 0.368
La3 0.500 0.500 0.000
Fe1 0.500 0.626 0.253
Fe2 0.500 0.374 0.747
Ge1 0.500 0.911 0.821
Ge2 0.500 0.089 0.179
Ge3 0.500 0.718 0.436
Ge4 0.500 0.282 0.564
Ge5 0.000 0.000 0.000
Ge6 0.000 0.410 0.819
Ge7 0.000 0.590 0.181

The density of states at the Fermi level is 6.7 states/eV/cell. As for the energy: -5.9119 eV/atom. Its mass density is 7.056 g cm⁻³. The volume comes out at 20.33 A^3/atom. The magnetization comes out at 0.0 μB/cell.

---

No. 10
## MnGeAs3 (PBE-GGA)

Data for a relaxed MnGeAs3 crystal.

abc: 4.690 4.690 4.690
angles: 90.00 90.00 90.00
Last column: magnetic moment on the atom in μB.
Atoms (fractional coordinates):
As1 0.000 0.500 0.000  -0.08
As2 0.000 0.000 0.500  -0.07
As3 0.500 0.000 0.000  -0.11
Mn1 0.000 0.000 0.000  2.06
Ge1 0.500 0.500 0.500  0.16

The density of states at the Fermi level is 4.1 states/eV/cell. Its mass density is 5.672 g cm⁻³. The volume comes out at 20.63 A^3/atom. The calculation puts the offset from the most stable computed form at 0 meV/atom. The magnetization comes out at 2.1 μB/cell.

---

No. 11
## ZrZn11Au (PBE-GGA)

Data for a relaxed ZrZn11Au crystal.

abc: 5.267 6.760 6.736
angles: 81.20 66.99 66.96
Atoms (fractional coordinates):
Zr1 0.000 0.000 0.000
Zn1 0.279 0.208 0.214
Zn2 0.721 0.792 0.786
Zn3 0.507 0.792 0.214
Zn4 0.493 0.208 0.786
Zn5 0.349 0.651 0.645
Zn6 0.651 0.349 0.355
Zn7 0.006 0.349 0.645
Zn8 0.994 0.651 0.355
Zn9 0.000 0.500 0.000
Zn10 0.500 0.000 0.500
Zn11 0.000 0.000 0.500
Au1 0.500 0.500 0.000

The density of states at the Fermi level is 2.4 states/eV/cell. As for the energy: -2.1225 eV/atom. Its mass density is 8.237 g cm⁻³. The volume comes out at 15.63 A^3/atom. The magnetization comes out at 0.0 μB/cell.

---

No. 12
## ZrScB (PBE-GGA)

Data for a relaxed ZrScB crystal.

abc: 5.098 3.215 12.684
angles: 90.00 101.43 90.00
Atoms (fractional coordinates):
Sc1 0.396 0.000 0.645
Sc2 0.396 0.500 0.145
Sc3 0.518 0.000 0.381
Sc4 0.518 0.500 0.881
B1 0.637 0.000 0.037
B2 0.637 0.500 0.537
B3 0.812 0.000 0.566
B4 0.812 0.500 0.066
Zr1 0.047 0.000 0.958
Zr2 0.047 0.500 0.458
Zr3 0.927 0.000 0.221
Zr4 0.927 0.500 0.721

The density of states at the Fermi level is 14.3 states/eV/cell. Its mass density is 4.791 g cm⁻³. The volume comes out at 16.98 A^3/atom. The calculation puts the offset from the most stable computed form at 20 meV/atom. The magnetization comes out at 0.0 μB/cell.